First-principles (meta-GGA SCAN) data for a crystal of MgTaBr relaxed with PBEsol, as listed in Alexandria via LeMat-Bulk.

Cell: 3.054 4.663 4.663 Å, 120.00 90.00 90.00°
Fractional positions:
Br: 0.500 0.000 0.000
Ta: 0.500 0.667 0.333
Mg: 0.000 0.333 0.667

Summary:
ρ = 8236 kg/m3
crystal system = hexagonal
space group = No. 187
formation energy without anion corrections = 0.565 eV/atom
M_tot = 0.0 μB/f.u.
V = 19.2 A^3/atom